(1)
# PBE-GGA TaCuSe2, optimized geometry
# spin magnetization: 0.00 μB/f.u.
# energy relative to the elements, uncorrected: 195 meV per atom
# volume: 153.1 Å³ per cell
data_TaCuSe2
_cell_length_a 6.774
_cell_length_b 7.628
_cell_length_c 3.243
_cell_angle_alpha 90.00
_cell_angle_beta 113.96
_cell_angle_gamma 90.00
_space_group_name_H-M_alt 'C 1 2/m 1'
_space_group_IT_number 12
loop_
_space_group_symop_operation_xyz
'x,y,z'
'-x,-y,-z'
'-x,y,-z'
'x,-y,z'
'x+1/2,y+1/2,z'
'-x+1/2,-y+1/2,-z'
'-x+1/2,y+1/2,-z'
'x+1/2,-y+1/2,z'
loop_
_atom_site_label
_atom_site_fract_x
_atom_site_fract_y
_atom_site_fract_z
Ta1 0.000 0.000 0.000
Cu1 0.000 0.500 0.000
Se1 0.250 0.250 0.000

(2)
# PBE-GGA TaCuSe, optimized geometry
# spin magnetization: 0.00 μB/f.u.
# energy relative to the elements, uncorrected: 452 meV per atom
# polymorph energy (0 for the lowest one): 0.487 eV per atom
# volume: 213.1 Å³ per cell
data_TaCuSe
_cell_length_a 5.973
_cell_length_b 5.973
_cell_length_c 5.973
_cell_angle_alpha 90.00
_cell_angle_beta 90.00
_cell_angle_gamma 90.00
_space_group_name_H-M_alt 'F -4 3 m'
_space_group_IT_number 216
_space_group_name_Hall 'F -4 2 3'
loop_
_atom_site_label
_atom_site_fract_x
_atom_site_fract_y
_atom_site_fract_z
Ta1 0.000 0.000 0.000
Cu1 0.000 0.000 0.500
Se1 0.250 0.250 0.750

(3)
# PBE-GGA TaCuSe, optimized geometry
# spin magnetization: 0.00 μB/f.u.
# energy relative to the elements, uncorrected: -35 meV per atom
# polymorph energy (0 for the lowest one): 0.000 eV per atom
# volume: 210.5 Å³ per cell
data_TaCuSe
_cell_length_a 11.338
_cell_length_b 3.273
_cell_length_c 5.673
_cell_angle_alpha 90.00
_cell_angle_beta 90.00
_cell_angle_gamma 90.00
_space_group_name_H-M_alt 'A m m 2'
_space_group_IT_number 38
loop_
_space_group_symop_operation_xyz
'x,y,z'
'-x,-y,z'
'-x,y,z'
'x,-y,z'
'x,y+1/2,z+1/2'
'-x,-y+1/2,z+1/2'
'-x,y+1/2,z+1/2'
'x,-y+1/2,z+1/2'
loop_
_atom_site_label
_atom_site_fract_x
_atom_site_fract_y
_atom_site_fract_z
Ta1 0.000 0.000 0.000
Ta2 0.500 0.000 0.337
Cu1 0.330 0.000 0.005
Se1 0.157 0.000 0.333

(4)
# PBE-GGA Ta4CuSe, optimized geometry
# spin magnetization: 0.00 μB/f.u.
# energy relative to the elements, uncorrected: 737 meV per atom
# volume: 461.9 Å³ per cell
data_Ta4CuSe
_cell_length_a 7.730
_cell_length_b 7.730
_cell_length_c 7.730
_cell_angle_alpha 90.00
_cell_angle_beta 90.00
_cell_angle_gamma 90.00
_space_group_name_H-M_alt 'F -4 3 m'
_space_group_IT_number 216
_space_group_name_Hall 'F -4 2 3'
loop_
_atom_site_label
_atom_site_fract_x
_atom_site_fract_y
_atom_site_fract_z
Ta1 0.123 0.123 0.123
Cu1 0.250 0.250 0.750
Se1 0.000 0.000 0.500

(5)
# PBE-GGA TaCu2Se, optimized geometry
# spin magnetization: 0.00 μB/f.u.
# energy relative to the elements, uncorrected: 111 meV per atom
# volume: 124.5 Å³ per cell
data_TaCu2Se
_cell_length_a 9.045
_cell_length_b 3.156
_cell_length_c 4.635
_cell_angle_alpha 90.00
_cell_angle_beta 109.84
_cell_angle_gamma 90.00
_space_group_name_H-M_alt 'C 1 m 1'
_space_group_IT_number 8
loop_
_space_group_symop_operation_xyz
'x,y,z'
'x,-y,z'
'x+1/2,y+1/2,z'
'x+1/2,-y+1/2,z'
loop_
_atom_site_label
_atom_site_fract_x
_atom_site_fract_y
_atom_site_fract_z
Ta1 0.000 0.000 0.000
Cu1 0.027 0.500 0.513
Cu2 0.279 0.500 0.378
Se1 0.266 0.000 0.918

(6)
# PBE-GGA TaCu2Se, optimized geometry
# spin magnetization: 0.00 μB/f.u.
# energy relative to the elements, uncorrected: 271 meV per atom
# volume: 122.3 Å³ per cell
data_TaCu2Se
_cell_length_a 3.647
_cell_length_b 3.647
_cell_length_c 9.198
_cell_angle_alpha 90.00
_cell_angle_beta 90.00
_cell_angle_gamma 90.00
_space_group_name_H-M_alt 'I 4/m m m'
_space_group_IT_number 139
_space_group_name_Hall '-I 4 2'
loop_
_atom_site_label
_atom_site_fract_x
_atom_site_fract_y
_atom_site_fract_z
Ta1 0.000 0.000 0.000
Cu1 0.000 0.500 0.250
Se1 0.000 0.000 0.500

(7)
# PBE-GGA TaCu3Te2Se2, optimized geometry
# spin magnetization: 0.00 μB/f.u.
# energy relative to the elements, uncorrected: -393 meV per atom
# volume: 403.9 Å³ per cell
data_TaCu3Te2Se2
_cell_length_a 8.177
_cell_length_b 8.438
_cell_length_c 5.854
_cell_angle_alpha 90.00
_cell_angle_beta 90.00
_cell_angle_gamma 90.00
_space_group_name_H-M_alt 'C m m 2'
_space_group_IT_number 35
loop_
_space_group_symop_operation_xyz
'x,y,z'
'-x,-y,z'
'-x,y,z'
'x,-y,z'
'x+1/2,y+1/2,z'
'-x+1/2,-y+1/2,z'
'-x+1/2,y+1/2,z'
'x+1/2,-y+1/2,z'
loop_
_atom_site_label
_atom_site_fract_x
_atom_site_fract_y
_atom_site_fract_z
Ta1 0.000 0.000 0.000
Cu1 0.000 0.000 0.506
Cu2 0.250 0.250 0.996
Te1 0.233 0.500 0.262
Se1 0.000 0.238 0.757

(8)
# PBE-GGA TaTi2CuSe, optimized geometry
# spin magnetization: 0.00 μB/f.u.
# energy relative to the elements, uncorrected: 573 meV per atom
# volume: 100.7 Å³ per cell
data_TaTi2CuSe
_cell_length_a 4.602
_cell_length_b 4.602
_cell_length_c 4.756
_cell_angle_alpha 90.00
_cell_angle_beta 90.00
_cell_angle_gamma 90.00
_space_group_name_H-M_alt 'P 4/m m m'
_space_group_IT_number 123
_space_group_name_Hall '-P 4 2'
loop_
_atom_site_label
_atom_site_fract_x
_atom_site_fract_y
_atom_site_fract_z
Ta1 0.000 0.000 0.000
Ti1 0.000 0.500 0.500
Cu1 0.500 0.500 0.000
Se1 0.000 0.000 0.500